This record from the Alexandria database describes a geometry-optimized Li5MgSn4 structure. The functional is PBE. Values from VASP.

Structure (Quantum ESPRESSO input):
```
&SYSTEM
  ibrav = 0, nat = 10, ntyp = 3
/
ATOMIC_SPECIES
Li 6.94 Li.upf
Mg 24.30 Mg.upf
Sn 118.71 Sn.upf
CELL_PARAMETERS angstrom
3.454 0.000 0.000
0.000 3.454 0.000
0.000 0.000 16.942
ATOMIC_POSITIONS angstrom
Li 0.000 0.000 0.000
Li 0.000 0.000 3.409
Li 0.000 0.000 6.750
Li 0.000 0.000 10.192
Li 0.000 0.000 13.533
Mg 1.727 1.727 8.471
Sn 1.727 1.727 1.667
Sn 1.727 1.727 5.187
Sn 1.727 1.727 11.756
Sn 1.727 1.727 15.276
```

=====

! LiMg14Sn (PBE, optimized geometry); values from VASP
! Offset from the most stable computed form = 6 meV per atom
&SYSTEM
  ibrav = 0, nat = 16, ntyp = 3
/
ATOMIC_SPECIES
Li 6.94 Li.upf
Mg 24.30 Mg.upf
Sn 118.71 Sn.upf
CELL_PARAMETERS angstrom
6.401 0.000 0.000
-3.200 5.543 0.000
0.000 0.000 10.207
ATOMIC_POSITIONS angstrom
Li 0.000 0.000 0.000
Mg 4.799 2.771 0.000
Mg 0.000 1.847 2.551
Mg 0.000 1.847 7.656
Mg -1.601 4.620 2.551
Mg -1.601 4.620 7.656
Mg 3.200 0.002 0.000
Mg 1.602 2.771 0.000
Mg 3.200 0.014 5.103
Mg 1.612 2.765 5.103
Mg 3.200 1.848 2.559
Mg 3.200 1.848 7.648
Mg 1.601 4.620 2.551
Mg 1.601 4.620 7.656
Mg 4.789 2.765 5.103
Sn 0.000 0.000 5.103

=====

This record from the Alexandria database describes a geometry-optimized Li2MgSn2 structure. The functional is PBE. Values from VASP.

Structure (Quantum ESPRESSO input):
```
&SYSTEM
  ibrav = 0, nat = 5, ntyp = 3
/
ATOMIC_SPECIES
Li 6.94 Li.upf
Mg 24.30 Mg.upf
Sn 118.71 Sn.upf
CELL_PARAMETERS angstrom
4.604 -2.174 0.000
4.604 2.174 0.000
-4.468 0.000 5.339
ATOMIC_POSITIONS angstrom
Li -0.911 0.000 2.055
Li 5.650 0.000 3.283
Mg 4.604 0.000 0.000
Sn 1.858 0.000 1.207
Sn 2.880 0.000 4.132
```

=====

! Li4MgSn2 (PBE, optimized geometry); values from VASP
! Offset from the most stable computed form = 0 meV per atom
&SYSTEM
  ibrav = 0, nat = 7, ntyp = 3
/
ATOMIC_SPECIES
Li 6.94 Li.upf
Mg 24.30 Mg.upf
Sn 118.71 Sn.upf
CELL_PARAMETERS angstrom
2.357 1.361 7.479
-2.357 1.361 7.479
0.000 -2.722 7.479
ATOMIC_POSITIONS angstrom
Li 0.000 0.000 2.420
Li 0.000 0.000 8.301
Li 0.000 0.000 14.136
Li 0.000 0.000 20.017
Mg 0.000 0.000 11.218
Sn 0.000 0.000 5.419
Sn 0.000 0.000 17.017

=====

This record from the Alexandria database describes a geometry-optimized LiMgSn structure. The functional is PBE. Values from VASP.

Structure (Quantum ESPRESSO input):
```
&SYSTEM
  ibrav = 0, nat = 6, ntyp = 3
/
ATOMIC_SPECIES
Li 6.94 Li.upf
Mg 24.30 Mg.upf
Sn 118.71 Sn.upf
CELL_PARAMETERS angstrom
3.419 0.000 0.000
0.000 4.857 0.000
0.000 0.000 8.042
ATOMIC_POSITIONS angstrom
Li 0.855 1.214 0.937
Li 2.565 3.643 7.105
Mg 0.855 3.643 4.438
Mg 2.565 1.214 3.605
Sn 0.855 1.214 6.127
Sn 2.565 3.643 1.915
```

=====

This record from the Alexandria database describes a geometry-optimized Li2MgSn2 structure. The functional is PBE. Values from VASP.

Structure (Quantum ESPRESSO input):
```
&SYSTEM
  ibrav = 0, nat = 10, ntyp = 3
/
ATOMIC_SPECIES
Li 6.94 Li.upf
Mg 24.30 Mg.upf
Sn 118.71 Sn.upf
CELL_PARAMETERS angstrom
7.712 0.000 0.000
0.000 7.712 0.000
0.000 0.000 3.745
ATOMIC_POSITIONS angstrom
Li 1.268 2.588 0.000
Li 2.588 6.443 0.000
Li 5.124 1.268 0.000
Li 6.443 5.124 0.000
Mg 0.000 0.000 1.872
Mg 3.856 3.856 1.872
Sn 1.050 4.906 1.872
Sn 2.806 1.050 1.872
Sn 4.906 6.661 1.872
Sn 6.661 2.806 1.872
```

=====

This record from the Alexandria database describes a geometry-optimized Li8Mg6Sn structure. The functional is PBE. Values from VASP.

Structure (Quantum ESPRESSO input):
```
&SYSTEM
  ibrav = 0, nat = 15, ntyp = 3
/
ATOMIC_SPECIES
Li 6.94 Li.upf
Mg 24.30 Mg.upf
Sn 118.71 Sn.upf
CELL_PARAMETERS angstrom
4.145 2.393 5.207
-4.145 2.393 5.207
0.000 -4.786 5.207
ATOMIC_POSITIONS angstrom
Li -1.368 -3.112 6.722
Li -3.379 -0.372 8.898
Li 0.000 0.000 3.616
Li -2.012 2.741 6.722
Li 2.012 -2.741 8.898
Li 0.000 0.000 12.003
Li 3.379 0.372 6.722
Li 1.368 3.112 8.898
Mg -1.864 -0.135 6.382
Mg -0.815 -1.682 9.238
Mg 1.049 -1.547 6.382
Mg -1.049 1.547 9.238
Mg 0.815 1.682 6.382
Mg 1.864 0.135 9.238
Sn 0.000 0.000 0.000
```

=====

This record from the Alexandria database describes a geometry-optimized Li2MgSn2 structure. The functional is PBE. Values from VASP.

Structure (Quantum ESPRESSO input):
```
&SYSTEM
  ibrav = 0, nat = 10, ntyp = 3
/
ATOMIC_SPECIES
Li 6.94 Li.upf
Mg 24.30 Mg.upf
Sn 118.71 Sn.upf
CELL_PARAMETERS angstrom
5.035 -2.401 0.000
5.035 2.401 0.000
-3.826 0.000 9.741
ATOMIC_POSITIONS angstrom
Li -0.607 0.000 2.140
Li -0.699 0.000 5.613
Li 6.942 0.000 4.128
Li 6.850 0.000 7.601
Mg 2.474 0.000 1.231
Mg 3.769 0.000 8.510
Sn 0.379 0.000 8.474
Sn 2.190 0.000 6.025
Sn 4.052 0.000 3.716
Sn 5.864 0.000 1.267
```

=====

! LiMg14Sn (PBE, optimized geometry); values from VASP
! Offset from the most stable computed form = 0 meV per atom
&SYSTEM
  ibrav = 0, nat = 16, ntyp = 3
/
ATOMIC_SPECIES
Li 6.94 Li.upf
Mg 24.30 Mg.upf
Sn 118.71 Sn.upf
CELL_PARAMETERS angstrom
10.274 0.000 0.000
0.000 3.144 5.606
0.000 -3.144 5.606
ATOMIC_POSITIONS angstrom
Li 0.000 0.000 0.000
Mg 0.000 -1.591 8.365
Mg 0.000 1.591 8.365
Mg 2.527 -1.585 4.638
Mg 2.527 1.585 4.638
Mg 2.543 0.000 7.460
Mg 2.557 0.000 1.826
Mg 5.137 0.000 0.005
Mg 5.137 -1.570 2.819
Mg 5.137 1.570 2.819
Mg 5.137 0.000 5.621
Mg 7.717 0.000 1.826
Mg 7.731 0.000 7.460
Mg 7.747 -1.585 4.638
Mg 7.747 1.585 4.638
Sn 0.000 0.000 5.584

=====

This record from the Alexandria database describes a geometry-optimized LiMg3Sn4 structure. The functional is PBE. Values from VASP.

Structure (Quantum ESPRESSO input):
```
&SYSTEM
  ibrav = 0, nat = 8, ntyp = 3
/
ATOMIC_SPECIES
Li 6.94 Li.upf
Mg 24.30 Mg.upf
Sn 118.71 Sn.upf
CELL_PARAMETERS angstrom
8.856 -2.329 0.000
8.856 2.329 0.000
-1.178 0.000 4.509
ATOMIC_POSITIONS angstrom
Li 0.000 0.000 0.000
Mg 4.133 0.000 1.128
Mg 8.267 0.000 2.254
Mg 12.401 0.000 3.381
Sn 1.449 0.000 2.810
Sn 5.639 0.000 3.953
Sn 10.895 0.000 0.556
Sn 15.085 0.000 1.699
```

=====

! Li2MgSn4 (PBE, optimized geometry); values from VASP
! Offset from the most stable computed form = 63 meV per atom
&SYSTEM
  ibrav = 0, nat = 7, ntyp = 3
/
ATOMIC_SPECIES
Li 6.94 Li.upf
Mg 24.30 Mg.upf
Sn 118.71 Sn.upf
CELL_PARAMETERS angstrom
2.289 1.321 9.209
-2.289 1.321 9.209
0.000 -2.643 9.209
ATOMIC_POSITIONS angstrom
Li 0.000 0.000 2.823
Li 0.000 0.000 24.805
Mg 0.000 0.000 0.000
Sn 0.000 0.000 5.659
Sn 0.000 0.000 10.887
Sn 0.000 0.000 16.741
Sn 0.000 0.000 21.968

=====

This record from the Alexandria database describes a geometry-optimized LiMgSn structure. The functional is PBE. Values from VASP.

Structure (Quantum ESPRESSO input):
```
&SYSTEM
  ibrav = 0, nat = 6, ntyp = 3
/
ATOMIC_SPECIES
Li 6.94 Li.upf
Mg 24.30 Mg.upf
Sn 118.71 Sn.upf
CELL_PARAMETERS angstrom
3.447 0.000 0.000
0.000 4.901 0.000
-1.722 0.000 7.694
ATOMIC_POSITIONS angstrom
Li 0.005 1.225 0.833
Li 1.719 3.676 6.861
Mg 0.000 3.676 4.258
Mg 1.725 1.225 3.436
Sn -0.004 1.225 5.979
Sn 1.728 3.676 1.715
```

=====

! Li4MgSn (PBE, optimized geometry); values from VASP
! Offset from the most stable computed form = 137 meV per atom
&SYSTEM
  ibrav = 0, nat = 6, ntyp = 3
/
ATOMIC_SPECIES
Li 6.94 Li.upf
Mg 24.30 Mg.upf
Sn 118.71 Sn.upf
CELL_PARAMETERS angstrom
0.000 3.808 3.808
3.808 0.000 3.808
3.808 3.808 0.000
ATOMIC_POSITIONS angstrom
Li 0.954 0.954 0.954
Li 2.854 2.854 0.954
Li 2.854 0.954 2.854
Li 0.954 2.854 2.854
Mg 5.712 5.712 5.712
Sn 3.808 3.808 3.808

=====

This record from the Alexandria database describes a geometry-optimized Li8MgSn6 structure. The functional is PBE. Values from VASP.

Structure (Quantum ESPRESSO input):
```
&SYSTEM
  ibrav = 0, nat = 15, ntyp = 3
/
ATOMIC_SPECIES
Li 6.94 Li.upf
Mg 24.30 Mg.upf
Sn 118.71 Sn.upf
CELL_PARAMETERS angstrom
4.042 2.334 5.770
-4.042 2.334 5.770
0.000 -4.667 5.770
ATOMIC_POSITIONS angstrom
Li -2.460 -0.109 6.601
Li 0.000 0.000 3.847
Li -1.136 -2.185 10.709
Li 1.325 -2.076 6.601
Li -1.325 2.076 10.709
Li 1.136 2.185 6.601
Li 0.000 0.000 13.463
Li 2.460 0.109 10.709
Mg 0.000 0.000 8.655
Sn -1.160 -2.683 7.727
Sn -2.904 -0.337 9.583
Sn -1.744 2.346 7.727
Sn 1.744 -2.346 9.583
Sn 2.904 0.337 7.727
Sn 1.160 2.683 9.583
```

=====

This record from the Alexandria database describes a geometry-optimized Li14MgSn structure. The functional is PBE. Values from VASP.

Structure (Quantum ESPRESSO input):
```
&SYSTEM
  ibrav = 0, nat = 16, ntyp = 3
/
ATOMIC_SPECIES
Li 6.94 Li.upf
Mg 24.30 Mg.upf
Sn 118.71 Sn.upf
CELL_PARAMETERS angstrom
7.017 0.000 0.000
0.000 7.017 0.000
0.000 0.000 6.333
ATOMIC_POSITIONS angstrom
Li 0.000 0.000 0.000
Li 0.000 3.509 0.000
Li 0.000 3.509 3.166
Li 1.710 1.710 1.643
Li 1.710 1.710 4.689
Li 1.710 5.307 1.643
Li 1.710 5.307 4.689
Li 3.509 0.000 0.000
Li 3.509 0.000 3.166
Li 3.509 3.509 0.000
Li 5.307 1.710 1.643
Li 5.307 1.710 4.689
Li 5.307 5.307 1.643
Li 5.307 5.307 4.689
Mg 3.509 3.509 3.166
Sn 0.000 0.000 3.166
```

=====

This record from the Alexandria database describes a geometry-optimized Li2MgSn9 structure. The functional is PBE. Values from VASP.

Structure (Quantum ESPRESSO input):
```
&SYSTEM
  ibrav = 0, nat = 12, ntyp = 3
/
ATOMIC_SPECIES
Li 6.94 Li.upf
Mg 24.30 Mg.upf
Sn 118.71 Sn.upf
CELL_PARAMETERS angstrom
4.719 0.000 0.000
0.000 4.719 0.000
0.000 0.000 13.694
ATOMIC_POSITIONS angstrom
Li 0.000 0.000 2.242
Li 0.000 0.000 11.452
Mg 0.000 0.000 6.847
Sn 0.000 2.359 0.000
Sn 0.000 2.359 4.552
Sn 0.000 2.359 9.142
Sn 2.359 0.000 0.000
Sn 2.359 0.000 4.552
Sn 2.359 0.000 9.142
Sn 2.359 2.359 2.274
Sn 2.359 2.359 6.847
Sn 2.359 2.359 11.420
```

=====

This record from the Alexandria database describes a geometry-optimized Li6Mg8Sn structure. The functional is PBE. Values from VASP.

Structure (Quantum ESPRESSO input):
```
&SYSTEM
  ibrav = 0, nat = 15, ntyp = 3
/
ATOMIC_SPECIES
Li 6.94 Li.upf
Mg 24.30 Mg.upf
Sn 118.71 Sn.upf
CELL_PARAMETERS angstrom
3.898 2.250 6.172
-3.898 2.250 6.172
0.000 -4.501 6.172
ATOMIC_POSITIONS angstrom
Li -2.797 -0.679 8.538
Li -0.811 -2.761 9.976
Li -1.986 2.083 9.976
Li 1.986 -2.083 8.538
Li 0.811 2.761 8.538
Li 2.797 0.679 9.976
Mg 0.000 0.000 1.517
Mg -0.606 -1.714 6.749
Mg -1.181 1.382 6.749
Mg -1.787 -0.332 11.766
Mg 1.787 0.332 6.749
Mg 1.181 -1.382 11.766
Mg 0.606 1.714 11.766
Mg 0.000 0.000 16.997
Sn 0.000 0.000 9.257
```

=====

This record from the Alexandria database describes a geometry-optimized LiMgSn6 structure. The functional is PBE. Values from VASP.

Structure (Quantum ESPRESSO input):
```
&SYSTEM
  ibrav = 0, nat = 8, ntyp = 3
/
ATOMIC_SPECIES
Li 6.94 Li.upf
Mg 24.30 Mg.upf
Sn 118.71 Sn.upf
CELL_PARAMETERS angstrom
4.564 0.000 0.000
0.000 4.564 0.000
0.000 0.000 9.846
ATOMIC_POSITIONS angstrom
Li 0.000 0.000 0.000
Mg 0.000 0.000 4.923
Sn 0.000 2.282 2.421
Sn 0.000 2.282 7.424
Sn 2.282 0.000 2.421
Sn 2.282 0.000 7.424
Sn 2.282 2.282 0.000
Sn 2.282 2.282 4.923
```

=====

This record from the Alexandria database describes a geometry-optimized Li8Mg5Sn structure. The functional is PBE. Values from VASP.

Structure (Quantum ESPRESSO input):
```
&SYSTEM
  ibrav = 0, nat = 14, ntyp = 3
/
ATOMIC_SPECIES
Li 6.94 Li.upf
Mg 24.30 Mg.upf
Sn 118.71 Sn.upf
CELL_PARAMETERS angstrom
-3.868 3.868 4.896
3.868 -3.868 4.896
3.868 3.868 -4.896
ATOMIC_POSITIONS angstrom
Li 2.379 -0.674 1.531
Li 3.394 2.657 -2.486
Li 4.542 -1.488 3.366
Li 5.356 0.674 1.531
Li 0.474 1.211 2.410
Li 3.194 1.488 3.366
Li 1.211 -0.474 7.382
Li 2.657 4.341 2.486
Mg 2.770 1.987 0.399
Mg 1.881 -1.097 4.498
Mg 1.987 4.965 -0.399
Mg 0.000 3.868 2.448
Mg 1.097 1.881 5.295
Sn 0.000 0.000 0.000
```

=====

This record from the Alexandria database describes a geometry-optimized Li2Mg2Sn3 structure. The functional is PBE. Values from VASP.

Structure (Quantum ESPRESSO input):
```
&SYSTEM
  ibrav = 0, nat = 7, ntyp = 3
/
ATOMIC_SPECIES
Li 6.94 Li.upf
Mg 24.30 Mg.upf
Sn 118.71 Sn.upf
CELL_PARAMETERS angstrom
4.968 0.000 0.000
-2.482 4.329 0.000
-2.472 -1.423 7.834
ATOMIC_POSITIONS angstrom
Li 0.004 1.444 0.913
Li 0.010 1.462 6.921
Mg -2.477 2.896 5.150
Mg 2.491 0.010 2.684
Sn -2.476 0.011 5.892
Sn 0.007 1.453 3.917
Sn 2.490 2.895 1.942
```

=====

Total magnetization for the records above, in order: 0.000; 0.000; 0.000; 0.000; 0.000; 0.000; 0.000; 0.000; 0.000; 0.000; 0.000; 0.000; 0.015; 0.000; 0.000; 0.000; 0.000; 0.000; 0.000; 0.000 μB/cell
Energy of formation for the records above, in order: -0.276; -0.029; -0.261; -0.293; -0.266; -0.231; -0.037; -0.223; -0.035; -0.182; -0.099; -0.261; -0.149; -0.213; -0.090; -0.095; -0.072; -0.075; -0.021; -0.194 eV per atom